[1]
# EuErNiIr, optimized geometry, DFT PBE
# DFT total energy = -31.08 eV/f.u.
# Magnetization = 1.69 μB/atom
# Energy relative to the elements = -1.60 eV per formula unit
# N(E_F) = 47.97 states/eV/cell
data_EuErNiIr
_chemical_formula_sum 'Eu4 Er4 Ni4 Ir4'
_cell_length_a 6.863
_cell_length_b 6.863
_cell_length_c 6.863
_cell_angle_alpha 90.00
_cell_angle_beta 90.00
_cell_angle_gamma 90.00
_space_group_name_H-M_alt 'F -4 3 m'
_space_group_IT_number 216
_space_group_name_Hall 'F -4 2 3'
loop_
_atom_site_label
_atom_site_type_symbol
_atom_site_fract_x
_atom_site_fract_y
_atom_site_fract_z
_atom_site_occupancy
Eu1 Eu 0.000 0.000 0.000 1
Er1 Er 0.000 0.000 0.500 1
Ni1 Ni 0.250 0.250 0.750 1
Ir1 Ir 0.250 0.250 0.250 1

=====

[2]
# EuErTlIr, optimized geometry, DFT PBE
# DFT total energy = -27.44 eV/f.u.
# Magnetization = 1.72 μB/atom
# Energy relative to the elements = -1.37 eV per formula unit
# N(E_F) = 29.92 states/eV/cell
data_EuErTlIr
_chemical_formula_sum 'Eu4 Er4 Tl4 Ir4'
_cell_length_a 7.264
_cell_length_b 7.264
_cell_length_c 7.264
_cell_angle_alpha 90.00
_cell_angle_beta 90.00
_cell_angle_gamma 90.00
_space_group_name_H-M_alt 'F -4 3 m'
_space_group_IT_number 216
_space_group_name_Hall 'F -4 2 3'
loop_
_atom_site_label
_atom_site_type_symbol
_atom_site_fract_x
_atom_site_fract_y
_atom_site_fract_z
_atom_site_occupancy
Eu1 Eu 0.000 0.000 0.000 1
Er1 Er 0.000 0.000 0.500 1
Tl1 Tl 0.250 0.250 0.750 1
Ir1 Ir 0.250 0.250 0.250 1

=====

[3]
# EuErZnIr, optimized geometry, DFT PBE
# DFT total energy = -26.71 eV/f.u.
# Magnetization = 1.71 μB/atom
# Energy relative to the elements = -1.74 eV per formula unit
# N(E_F) = 19.09 states/eV/cell
data_EuErZnIr
_chemical_formula_sum 'Eu4 Er4 Zn4 Ir4'
_cell_length_a 7.028
_cell_length_b 7.028
_cell_length_c 7.028
_cell_angle_alpha 90.00
_cell_angle_beta 90.00
_cell_angle_gamma 90.00
_space_group_name_H-M_alt 'F -4 3 m'
_space_group_IT_number 216
_space_group_name_Hall 'F -4 2 3'
loop_
_atom_site_label
_atom_site_type_symbol
_atom_site_fract_x
_atom_site_fract_y
_atom_site_fract_z
_atom_site_occupancy
Eu1 Eu 0.000 0.000 0.000 1
Er1 Er 0.000 0.000 0.500 1
Zn1 Zn 0.250 0.250 0.250 1
Ir1 Ir 0.250 0.250 0.750 1